Below is YTa2Ni after structural relaxation, with properties calculated at the PBE level.

Structure (extended XYZ):
```
4
Lattice="9.4844 -0.0166 -0.0097 8.9914 3.0180 -0.0097 8.9914 1.4607 2.6410" Properties=species:S:1:pos:R:3 pbc="T T T"
Y 6.8668 1.1155 0.6554
Ni 20.6005 3.3466 1.9662
Ta 13.3732 2.1725 1.2764
Ta 0.3605 0.0586 0.0344
```

Values from the calculation:
DFT formation energy (eV/atom): 0.380